1.
Here is a geometry-optimized BeCrCo2 structure from Alexandria via LeMat-Bulk. Energies are from PBE.

Geometry as CIF:
```
data_BeCrCo2
_space_group_name_H-M_alt 'P 1'
_space_group_IT_number 1
_cell_length_a 4.100
_cell_length_b 4.100
_cell_length_c 4.272
_cell_angle_alpha 98.61
_cell_angle_beta 98.61
_cell_angle_gamma 34.75
loop_
_space_group_symop_operation_xyz
'x,y,z'
loop_
_atom_site_label
_atom_site_type_symbol
_atom_site_fract_x
_atom_site_fract_y
_atom_site_fract_z
Be1 Be 0.000 0.000 0.000
Cr1 Cr 0.500 0.500 0.500
Co1 Co 0.256 0.256 0.759
Co2 Co 0.744 0.744 0.241
```

Properties
V, Å³ per cell: 40
Formation energy, kJ per mole of atoms: 1.2
Final energy, eV per atom: -6.8774


2.
Here is a geometry-optimized BeCr2Co structure from Alexandria via LeMat-Bulk. Energies are from PBE.

Geometry as CIF:
```
data_BeCr2Co
_space_group_name_H-M_alt 'P 1'
_space_group_IT_number 1
_cell_length_a 4.141
_cell_length_b 4.141
_cell_length_c 4.405
_cell_angle_alpha 95.08
_cell_angle_beta 95.08
_cell_angle_gamma 33.90
loop_
_space_group_symop_operation_xyz
'x,y,z'
loop_
_atom_site_label
_atom_site_type_symbol
_atom_site_fract_x
_atom_site_fract_y
_atom_site_fract_z
Be1 Be 0.000 0.000 0.000
Cr1 Cr 0.252 0.252 0.761
Cr2 Cr 0.486 0.486 0.493
Co1 Co 0.741 0.741 0.230
```

Properties
V, Å³ per cell: 42
Formation energy, kJ per mole of atoms: 6.6
Final energy, eV per atom: -7.4510


3.
Here is a geometry-optimized BeCrCo4 structure from Alexandria via LeMat-Bulk. Energies are from PBE.

Geometry as CIF:
```
data_BeCrCo4
_space_group_name_H-M_alt 'P 1'
_space_group_IT_number 1
_cell_length_a 3.735
_cell_length_b 3.735
_cell_length_c 6.088
_cell_angle_alpha 107.91
_cell_angle_beta 107.91
_cell_angle_gamma 60.07
loop_
_space_group_symop_operation_xyz
'x,y,z'
loop_
_atom_site_label
_atom_site_type_symbol
_atom_site_fract_x
_atom_site_fract_y
_atom_site_fract_z
Be1 Be 0.000 0.000 0.000
Cr1 Cr 0.500 0.500 0.500
Co1 Co 0.122 0.122 0.368
Co2 Co 0.364 0.364 0.093
Co3 Co 0.636 0.636 0.907
Co4 Co 0.878 0.878 0.632
```

Properties
Distance to the lowest polymorph of the same formula, meV/atom: 115
V, Å³ per cell: 69
Formation energy, kJ per mole of atoms: 37.6
Final energy, eV per atom: -6.5720